Entry 1:
NaLi4Au | GGA-PBE | relaxed

a = 13.351 Å, b = 7.402 Å, c = 5.196 Å
α = 90.00°, β = 111.25°, γ = 90.00°
Space group C2/c (No. 15)
Symmetry-distinct sites (fractional):
Na  0.000  0.183  0.250
Li  0.128  0.494  0.644
Li  0.173  0.117  0.923
Au  0.250  0.250  0.500

Values from the calculation:
* relative energy among the computed polymorphs: 0 meV/atom
* calculated formation energy: -0.21 eV/atom

Entry 2:
AcPPdF | GGA-PBE | relaxed

a = 4.135 Å, b = 4.135 Å, c = 8.857 Å
α = 90.00°, β = 90.00°, γ = 90.00°
Space group P4/nmm (No. 129, origin choice 2)
Symmetry-distinct sites (fractional):
Ac  0.250  0.250  0.192
P  0.250  0.250  0.659
Pd  0.250  0.750  0.500
F  0.250  0.750  0.000

Values from the calculation:
* raw formation energy: -8.1 eV per formula unit

Entry 3:
TlSi2Mo | GGA-PBE | relaxed

a = 3.962 Å, b = 3.962 Å, c = 8.811 Å
α = 90.00°, β = 90.00°, γ = 90.00°
Space group I-4m2 (No. 119)
Symmetry-distinct sites (fractional):
Tl  0.000  0.000  0.000
Si  0.000  0.000  0.500
Si  0.000  0.500  0.250
Mo  0.000  0.500  0.750

Values from the calculation:
* raw formation energy: 2.9 eV per formula unit
* relative energy among the computed polymorphs: 579 meV/atom